Tb8DyHo2, relaxed, DFT GGA-PBE; DFT formation energy = 155 meV/atom; energy above the most stable polymorph in this dataset = 0.138 eV per atom; VASP energy = -4.46 eV/atom
1.0
5.614 1.707 0.000
2.732 8.568 0.000
1.366 4.284 8.131
Tb Ho Dy
8 2 1
direct
0.293 0.432 0.000
0.500 0.205 0.590
0.816 0.098 0.239
0.184 0.902 0.761
0.816 0.337 0.761
0.500 0.795 0.410
0.184 0.663 0.239
0.707 0.568 0.000
0.000 0.690 0.619
0.000 0.310 0.381
0.500 0.000 0.000

=====

Tb6Dy4Ho, relaxed, DFT GGA-PBE; DFT formation energy = 128 meV/atom; energy above the most stable polymorph in this dataset = 0.000 eV per atom; VASP energy = -4.49 eV/atom
1.0
-1.471 -1.503 -5.317
4.315 -2.423 2.566
-15.580 -17.841 9.353
Tb Dy Ho
12 8 2
direct
0.869 0.737 0.682
0.131 0.263 0.182
0.464 0.929 0.250
0.199 0.398 0.604
0.801 0.602 0.396
0.536 0.071 0.750
0.500 0.000 0.000
0.131 0.263 0.318
0.801 0.602 0.104
0.199 0.398 0.896
0.869 0.737 0.818
0.500 0.000 0.500
0.848 0.696 0.543
0.460 0.921 0.122
0.848 0.696 0.957
0.460 0.921 0.378
0.152 0.304 0.043
0.540 0.079 0.622
0.152 0.304 0.457
0.540 0.079 0.878
0.200 0.400 0.750
0.800 0.600 0.250

=====

TbDy2Ho5, relaxed, DFT GGA-PBE; DFT formation energy = 16 meV/atom; energy above the most stable polymorph in this dataset = 0.000 eV per atom; VASP energy = -4.57 eV/atom
1.0
4.980 0.000 0.000
0.000 7.052 0.000
0.000 0.000 14.104
Dy Ho Tb
4 10 2
direct
0.500 0.750 0.875
0.500 0.250 0.125
0.500 0.750 0.375
0.500 0.250 0.625
0.000 0.500 0.500
0.000 0.001 0.250
0.000 0.000 0.000
0.000 0.999 0.750
0.500 0.749 0.625
0.500 0.251 0.375
0.000 0.501 0.250
0.500 0.249 0.875
0.000 0.499 0.750
0.500 0.751 0.125
0.000 0.500 0.000
0.000 0.000 0.500

=====

Tb2DyHo3, relaxed, DFT GGA-PBE; DFT formation energy = 18 meV/atom; energy above the most stable polymorph in this dataset = 0.000 eV per atom; VASP energy = -4.58 eV/atom
1.0
-2.630 -2.366 4.975
1.088 -6.509 -2.521
7.142 3.002 5.231
Ho Tb Dy
6 4 2
direct
0.083 0.291 0.333
0.417 0.958 0.667
0.250 0.375 0.000
0.583 0.042 0.333
0.917 0.709 0.667
0.750 0.625 0.000
0.417 0.458 0.667
0.917 0.208 0.667
0.583 0.542 0.333
0.083 0.792 0.333
0.250 0.875 0.000
0.750 0.125 0.000

=====

Tb4DyHo4, relaxed, DFT GGA-PBE; DFT formation energy = 0 meV/atom; energy above the most stable polymorph in this dataset = 0.000 eV per atom; VASP energy = -4.60 eV/atom
1.0
1.522 7.004 -5.098
-7.344 -6.190 3.221
3.454 3.786 11.227
Tb Dy Ho
8 2 8
direct
0.834 0.500 0.639
0.167 0.833 0.972
0.833 0.166 0.528
0.501 0.834 0.695
0.167 0.834 0.472
0.166 0.500 0.361
0.499 0.166 0.305
0.833 0.167 0.028
0.500 0.500 0.250
0.500 0.500 0.750
0.166 0.167 0.416
0.832 0.833 0.083
0.499 0.832 0.194
0.834 0.833 0.584
0.167 0.500 0.862
0.501 0.168 0.806
0.833 0.500 0.138
0.168 0.167 0.917

=====

Tb6Dy12Ho, relaxed, DFT GGA-PBE; DFT formation energy = 457 meV/atom; energy above the most stable polymorph in this dataset = 0.302 eV per atom; VASP energy = -4.15 eV/atom
1.0
8.986 -1.102 -1.960
-2.185 8.786 -1.960
-0.975 -1.102 9.145
Dy Tb Ho
12 6 1
direct
0.329 0.095 0.329
0.500 0.888 0.112
0.671 0.671 0.905
0.329 0.329 0.095
0.888 0.112 0.500
0.888 0.500 0.112
0.095 0.329 0.329
0.112 0.888 0.500
0.112 0.500 0.888
0.671 0.905 0.671
0.500 0.112 0.888
0.905 0.671 0.671
0.319 0.319 0.709
0.709 0.319 0.319
0.319 0.709 0.319
0.681 0.681 0.291
0.291 0.681 0.681
0.681 0.291 0.681
0.000 0.000 0.000

=====

Tb2DyHo4, relaxed, DFT GGA-PBE; DFT formation energy = 139 meV/atom; VASP energy = -4.46 eV/atom
1.0
-1.602 -5.424 -2.016
5.290 -0.124 -3.868
6.691 -1.983 9.214
Ho Tb Dy
8 4 2
direct
0.989 0.750 0.841
0.636 0.495 0.289
0.364 0.995 0.711
0.364 0.505 0.711
0.636 0.005 0.289
0.011 0.250 0.159
0.145 0.750 0.426
0.855 0.250 0.574
0.289 0.250 0.445
0.394 0.250 0.994
0.711 0.750 0.555
0.606 0.750 0.006
0.833 0.250 0.858
0.167 0.750 0.142

=====

Tb10DyHo4, relaxed, DFT GGA-PBE; DFT formation energy = 723 meV/atom; VASP energy = -3.89 eV/atom
1.0
-6.814 -3.201 1.398
0.445 -9.045 2.429
-2.771 0.643 8.934
Tb Ho Dy
10 4 1
direct
0.451 0.899 0.700
0.549 0.101 0.300
0.950 0.899 0.700
0.850 0.700 0.101
0.350 0.700 0.101
0.650 0.300 0.899
0.250 0.500 0.500
0.750 0.500 0.500
0.150 0.300 0.899
0.050 0.101 0.300
0.200 0.400 0.199
0.400 0.801 0.400
0.600 0.199 0.600
0.800 0.600 0.801
0.000 0.000 0.000

=====

Which formula does entry 8 have? Tb10DyHo4

=====

DFT formation energy of number 6 (Tb6Dy12Ho)? 457 meV/atom